Compound: BaCd2GePt
Source: Alexandria
Functional: GGA-PBE
Structure: relaxed

```
BaCd2GePt
1.0
5.288 0.000 0.000
0.000 5.288 0.000
0.000 0.000 4.908
Ge Pt Cd Ba
1 1 2 1
direct
0.000 0.000 0.500 Ge
0.000 0.000 0.000 Pt
0.500 0.000 0.000 Cd
0.000 0.500 0.000 Cd
0.500 0.500 0.500 Ba
```

Summary:
**DFT formation energy**: -0.334 eV per atom
**Size of the total moment**: 0.00 μB per formula unit
**SG**: P4/mmm (123)
**N(E_F)**: 2.87 states/eV per cell